CsSr2Ru, relaxed, DFT GGA-PBE; D(E_F) = 0.99 states/eV per atom; ΔH_f (0 K) = 0.751 eV/atom; energy relative to the lowest polymorph listed for this composition = 199 meV per atom; M_tot = 0.00 μB/f.u.; VASP energy = -10.489 eV for the cell shown
1.0
0.000 4.051 4.051
4.051 0.000 4.051
4.051 4.051 0.000
Ru Sr Cs
1 2 1
direct
0.000 0.000 0.000
0.750 0.750 0.750
0.250 0.250 0.250
0.500 0.500 0.500